1.
# Pm2Y3Se6

An optimized crystal structure of Pm2Y3Se6 (GGA-PBE, Alexandria via LeMat-Bulk).

The energy relative to the elements, uncorrected comes out at -1.7765 eV per atom. The volume is 915.23 Å³/cell. The value obtained for the distance to the lowest polymorph of the same formula is 111 meV/atom.

The space group is R-3m (No. 166, hexagonal axes) and the conventional cell measures 4.1808, 4.1808 and 60.4626 Å, with angles of 90.00, 90.00 and 120.00 degrees. The distinct sites, in fractional coordinates, are Pm at (0.0000, 0.0000, 0.0539), Y at (0.0000, 0.0000, 0.2196), Y at (0.0000, 0.0000, 0.5000), Se at (0.0000, 0.0000, 0.1399), Se at (0.0000, 0.0000, 0.3036) and Se at (0.0000, 0.0000, 0.4193).

2.
# PmYSe2

An optimized crystal structure of PmYSe2 (GGA-PBE, Alexandria via LeMat-Bulk).

The energy relative to the elements, uncorrected comes out at -1.8002 eV per atom. The volume is 304.79 Å³/cell. The value obtained for the distance to the lowest polymorph of the same formula is 4 meV/atom.

The space group is R3m (No. 160, hexagonal axes) and the conventional cell measures 4.0482, 4.0482 and 21.4757 Å, with angles of 90.00, 90.00 and 120.00 degrees. The distinct sites, in fractional coordinates, are Pm at (0.0000, 0.0000, 0.0000), Y at (0.0000, 0.0000, 0.1769), Se at (0.0000, 0.0000, 0.5841) and Se at (0.0000, 0.0000, 0.7588).

3.
# PmY2Se4

An optimized crystal structure of PmY2Se4 (GGA-PBE, Alexandria via LeMat-Bulk).

The energy relative to the elements, uncorrected comes out at -1.8700 eV per atom. The volume is 753.52 Å³/cell. The value obtained for the distance to the lowest polymorph of the same formula is 0 meV/atom.

The space group is Cmcm (No. 63) and the conventional cell measures 4.021, 13.511 and 13.871 Å, with angles of 90.00, 90.00 and 90.00 degrees. The distinct sites, in fractional coordinates, are Pm at (0.000, 0.125, 0.250), Y at (0.000, 0.370, 0.069), Se at (0.000, 0.000, 0.000), Se at (0.000, 0.275, 0.621) and Se at (0.000, 0.465, 0.250).

4.
# Pm4YSe5

An optimized crystal structure of Pm4YSe5 (GGA-PBE, Alexandria via LeMat-Bulk).

The energy relative to the elements, uncorrected comes out at -1.8160 eV per atom. The volume is 514.71 Å³/cell.

The space group is Immm (No. 71) and the conventional cell measures 4.169, 5.897 and 20.938 Å, with angles of 90.00, 90.00 and 90.00 degrees. The distinct sites, in fractional coordinates, are Pm at (0.000, 0.000, 0.101), Pm at (0.000, 0.000, 0.301), Y at (0.000, 0.000, 0.500), Se at (0.000, 0.500, 0.096), Se at (0.000, 0.500, 0.299) and Se at (0.000, 0.500, 0.500).

5.
# Pm6Y2Se3

An optimized crystal structure of Pm6Y2Se3 (GGA-PBE, Alexandria via LeMat-Bulk).

The energy relative to the elements, uncorrected comes out at -0.9066 eV per atom. The volume is 1018.30 Å³/cell.

The space group is R-3m (No. 166, hexagonal axes) and the conventional cell measures 3.9074, 3.9074 and 77.0158 Å, with angles of 90.00, 90.00 and 120.00 degrees. The distinct sites, in fractional coordinates, are Pm at (0.0000, 0.0000, 0.0735), Pm at (0.0000, 0.0000, 0.1852), Pm at (0.0000, 0.0000, 0.3580), Y at (0.0000, 0.0000, 0.4443), Se at (0.0000, 0.0000, 0.0000) and Se at (0.0000, 0.0000, 0.2846).

6.
# PmYSe2

An optimized crystal structure of PmYSe2 (GGA-PBE, Alexandria via LeMat-Bulk).

The energy relative to the elements, uncorrected comes out at -1.5623 eV per atom. The volume is 371.42 Å³/cell. The value obtained for the distance to the lowest polymorph of the same formula is 242 meV/atom.

The space group is Fm-3m (No. 225) and the conventional cell measures 7.188, 7.188 and 7.188 Å, with angles of 90.00, 90.00 and 90.00 degrees. The distinct sites, in fractional coordinates, are Pm at (0.000, 0.000, 0.000), Y at (0.000, 0.000, 0.500) and Se at (0.250, 0.250, 0.250).

7.
# PmY2Se4

An optimized crystal structure of PmY2Se4 (GGA-PBE, Alexandria via LeMat-Bulk).

The energy relative to the elements, uncorrected comes out at -1.8477 eV per atom. The volume is 409.86 Å³/cell. The value obtained for the distance to the lowest polymorph of the same formula is 22 meV/atom.

The space group is C2/m (No. 12) and the conventional cell measures 15.448, 4.131 and 7.149 Å, with angles of 90.00, 116.07 and 90.00 degrees. The distinct sites, in fractional coordinates, are Pm at (0.000, 0.000, 0.000), Y at (0.236, 0.500, 0.727), Se at (0.127, 0.000, 0.451) and Se at (0.138, 0.500, 0.992).

8.
# PmY5Se6

An optimized crystal structure of PmY5Se6 (GGA-PBE, Alexandria via LeMat-Bulk).

The energy relative to the elements, uncorrected comes out at -1.7786 eV per atom. The volume is 586.78 Å³/cell.

The space group is C2/m (No. 12) and the conventional cell measures 7.113, 12.341 and 7.095 Å, with angles of 90.00, 109.58 and 90.00 degrees. The distinct sites, in fractional coordinates, are Pm at (0.000, 0.000, 0.000), Y at (0.000, 0.162, 0.500), Y at (0.000, 0.335, 0.000), Y at (0.000, 0.500, 0.500), Se at (0.244, 0.500, 0.251) and Se at (0.245, 0.330, 0.746).

9.
# PmY3Se4

An optimized crystal structure of PmY3Se4 (GGA-PBE, Alexandria via LeMat-Bulk).

The energy relative to the elements, uncorrected comes out at -1.7662 eV per atom. The volume is 197.46 Å³/cell. The value obtained for the distance to the lowest polymorph of the same formula is 16 meV/atom.

The space group is Pm-3m (No. 221) and the conventional cell measures 5.823, 5.823 and 5.823 Å, with angles of 90.00, 90.00 and 90.00 degrees. The distinct sites, in fractional coordinates, are Pm at (0.000, 0.000, 0.000), Y at (0.000, 0.500, 0.500), Se at (0.000, 0.000, 0.500) and Se at (0.500, 0.500, 0.500).

10.
# Pm4YSe7

An optimized crystal structure of Pm4YSe7 (GGA-PBE, Alexandria via LeMat-Bulk).

The energy relative to the elements, uncorrected comes out at -1.8870 eV per atom. The volume is 667.85 Å³/cell.

The space group is Cm (No. 8) and the conventional cell measures 13.702, 4.063 and 12.407 Å, with angles of 90.00, 104.77 and 90.00 degrees. The distinct sites, in fractional coordinates, are Pm at (0.000, 0.000, 0.000), Pm at (0.087, 0.500, 0.385), Pm at (0.188, 0.000, 0.766), Pm at (0.387, 0.500, 0.574), Y at (0.275, 0.500, 0.153), Se at (0.048, 0.500, 0.626), Se at (0.130, 0.500, 0.930), Se at (0.152, 0.000, 0.224), Se at (0.226, 0.000, 0.525), Se at (0.348, 0.500, 0.792), Se at (0.385, 0.000, 0.079) and Se at (0.426, 0.500, 0.356).

11.
# Pm4Y3Se8

An optimized crystal structure of Pm4Y3Se8 (GGA-PBE, Alexandria via LeMat-Bulk).

The energy relative to the elements, uncorrected comes out at -1.8560 eV per atom. The volume is 798.15 Å³/cell. The value obtained for the distance to the lowest polymorph of the same formula is 0 meV/atom.

The space group is C2/m (No. 12) and the conventional cell measures 11.682, 11.686 and 8.256 Å, with angles of 90.00, 134.92 and 90.00 degrees. The distinct sites, in fractional coordinates, are Pm at (0.000, 0.000, 0.000), Pm at (0.000, 0.500, 0.500), Pm at (0.250, 0.250, 0.000), Y at (0.000, 0.500, 0.000), Y at (0.250, 0.250, 0.500), Se at (0.000, 0.244, 0.500), Se at (0.000, 0.253, 0.000), Se at (0.247, 0.000, 0.506) and Se at (0.248, 0.000, 0.989).

12.
# Pm4YSe5

An optimized crystal structure of Pm4YSe5 (GGA-PBE, Alexandria via LeMat-Bulk).

The energy relative to the elements, uncorrected comes out at -1.8179 eV per atom. The volume is 515.05 Å³/cell.

The space group is I4/mmm (No. 139) and the conventional cell measures 4.169, 4.169 and 29.640 Å, with angles of 90.00, 90.00 and 90.00 degrees. The distinct sites, in fractional coordinates, are Pm at (0.000, 0.000, 0.102), Pm at (0.000, 0.000, 0.304), Y at (0.000, 0.000, 0.500), Se at (0.000, 0.000, 0.000), Se at (0.000, 0.000, 0.202) and Se at (0.000, 0.000, 0.403).

Copy entry 10 word for word.
# Pm4YSe7

An optimized crystal structure of Pm4YSe7 (GGA-PBE, Alexandria via LeMat-Bulk).

The energy relative to the elements, uncorrected comes out at -1.8870 eV per atom. The volume is 667.85 Å³/cell.

The space group is Cm (No. 8) and the conventional cell measures 13.702, 4.063 and 12.407 Å, with angles of 90.00, 104.77 and 90.00 degrees. The distinct sites, in fractional coordinates, are Pm at (0.000, 0.000, 0.000), Pm at (0.087, 0.500, 0.385), Pm at (0.188, 0.000, 0.766), Pm at (0.387, 0.500, 0.574), Y at (0.275, 0.500, 0.153), Se at (0.048, 0.500, 0.626), Se at (0.130, 0.500, 0.930), Se at (0.152, 0.000, 0.224), Se at (0.226, 0.000, 0.525), Se at (0.348, 0.500, 0.792), Se at (0.385, 0.000, 0.079) and Se at (0.426, 0.500, 0.356).

Which of these has the highest energy relative to the elements, uncorrected?
Pm6Y2Se3

Which value of energy relative to the elements, uncorrected does entry 10 give?
-1.8870 eV per atom